## RbBrO2 (GGA-PBE)

Data for crystalline RbBrO2 at its relaxed geometry.

The structure belongs to space group R-3m (No. 166, hexagonal axes); the cell edges are 3.6406, 3.6406 and 22.0305 Å and the angles 90.00°, 90.00° and 120.00°. The distinct sites, in fractional coordinates, are Rb at (0.0000, 0.0000, 0.0000), Br at (0.0000, 0.0000, 0.5000) and O at (0.0000, 0.0000, 0.4168).



## RbBrO2 (GGA-PBE)

Data for crystalline RbBrO2 at its relaxed geometry.

The structure belongs to space group C2/c (No. 15); the cell edges are 7.8015, 13.4766 and 5.0319 Å and the angles 90.00°, 130.02° and 90.00°. The distinct sites, in fractional coordinates, are Rb at (0.0000, 0.0957, 0.2500), Br at (0.0000, 0.3227, 0.7500) and O at (0.2445, 0.3945, 0.9957).



## Rb4BrO2 (GGA-PBE)

Data for crystalline Rb4BrO2 at its relaxed geometry.

The structure belongs to space group Cmcm (No. 63); the cell edges are 4.3955, 14.0745 and 14.0503 Å and the angles 90.00°, 90.00° and 90.00°. The distinct sites, in fractional coordinates, are Rb at (0.0000, 0.0000, 0.0000), Rb at (0.0000, 0.2727, 0.0991), Rb at (0.0000, 0.4117, 0.7500), Br at (0.0000, 0.1006, 0.7500) and O at (0.0000, 0.3606, 0.5718).



## Rb7Br3O2 (GGA-PBE)

Data for crystalline Rb7Br3O2 at its relaxed geometry.

The structure belongs to space group I4/mmm (No. 139); the cell edges are 5.5580, 5.5580 and 28.5232 Å and the angles 90.00°, 90.00° and 90.00°. The distinct sites, in fractional coordinates, are Rb at (0.0000, 0.0000, 0.0000), Rb at (0.0000, 0.0000, 0.1927), Rb at (0.0000, 0.5000, 0.0965), Br at (0.0000, 0.0000, 0.3177), Br at (0.0000, 0.0000, 0.5000) and O at (0.0000, 0.0000, 0.0990).



## RbBr2O (GGA-PBE)

Data for crystalline RbBr2O at its relaxed geometry.

The structure belongs to space group Fm-3m (No. 225); the cell edges are 7.8257, 7.8257 and 7.8257 Å and the angles 90.00°, 90.00° and 90.00°. The distinct sites, in fractional coordinates, are Rb at (0.0000, 0.0000, 0.0000), Br at (0.2500, 0.2500, 0.2500) and O at (0.0000, 0.0000, 0.5000).



## Rb12BrO5 (GGA-PBE)

Data for crystalline Rb12BrO5 at its relaxed geometry.

The structure belongs to space group C2/m (No. 12); the cell edges are 7.5392, 13.0754 and 15.6636 Å and the angles 90.00°, 90.00° and 90.00°. The distinct sites, in fractional coordinates, are Rb at (0.1038, 0.0000, 0.4018), Rb at (0.1660, 0.5000, 0.0830), Rb at (0.1670, 0.1664, 0.0823), Rb at (0.1979, 0.3021, 0.4019), Br at (0.0000, 0.5000, 0.5000), O at (0.0000, 0.0000, 0.0000), O at (0.0000, 0.1666, 0.5000) and O at (0.0000, 0.3334, 0.0000).



## RbBr2O (GGA-PBE)

Data for crystalline RbBr2O at its relaxed geometry.

The structure belongs to space group I-42d (No. 122); the cell edges are 6.7110, 6.7110 and 12.0069 Å and the angles 90.00°, 90.00° and 90.00°. The distinct sites, in fractional coordinates, are Rb at (0.0000, 0.0000, 0.0000), Br at (0.0022, 0.2500, 0.6250) and O at (0.0000, 0.0000, 0.5000).



## Rb7BrO2 (GGA-PBE)

Data for crystalline Rb7BrO2 at its relaxed geometry.

The structure belongs to space group Cmmm (No. 65); the cell edges are 12.8550, 15.4158 and 5.5643 Å and the angles 90.00°, 90.00° and 90.00°. The distinct sites, in fractional coordinates, are Rb at (0.0000, 0.0000, 0.0000), Rb at (0.1566, 0.3704, 0.0000), Rb at (0.2070, 0.0000, 0.5000), Br at (0.0000, 0.5000, 0.5000) and O at (0.2187, 0.0000, 0.0000).



## Rb12Br5O3 (GGA-PBE)

Data for crystalline Rb12Br5O3 at its relaxed geometry.

The structure belongs to space group Ia-3d (No. 230); the cell edges are 19.8802, 19.8802 and 19.8802 Å and the angles 90.00°, 90.00° and 90.00°. The distinct sites, in fractional coordinates, are Rb at (0.0325, 0.0365, 0.3345), Br at (0.0000, 0.0000, 0.0000), Br at (0.0000, 0.2500, 0.3750) and O at (0.0000, 0.2500, 0.1250).



Q: Which uncorrected formation energy values were calculated for the entries above? A: -0.294, -0.558, -1.122, -1.344, -0.016, -0.945, -0.448, -0.823, -1.202, in eV/atom.
Q: Which DFT total energy values were calculated for the entries above? A: -0.2524, -0.2717, -0.2448, -0.2318, -0.1716, -0.2249, -0.2033, -0.1955, -0.2164, in Ry/atom.
Q: Which V values were calculated for the entries above? A: 21.07, 25.32, 31.04, 36.71, 29.95, 42.89, 33.80, 55.13, 49.11, in Å³ per atom.